# 1
This record from Alexandria describes an optimized crystal structure of La2Tb8Pr3. The functional is PBE-GGA.

Lattice parameters (Å, degrees): 11.1925 11.1925 5.6548 90.03 90.03 40.48
Closest atoms and distances in Å follow each position.
Sites, in units of the cell vectors:
La (0.2422, 0.2422, 0.4990)  8 Tb 3.46-3.69
La (0.7578, 0.7578, 0.5010)  8 Tb 3.46-3.69
Tb (0.1294, 0.1294, 0.9998)  4 Pr 3.55-3.92, 6 Tb 3.64-3.93, 2 La 3.68-3.69
Tb (0.1828, 0.6039, 0.4998)  1 Pr 3.17, 3 Tb 3.26-3.47
Tb (0.3373, 0.3373, 0.9993)  2 La 3.46, 4 Tb 3.47, 2 Pr 3.77
Tb (0.3961, 0.8172, 0.5002)  1 Pr 3.17, 3 Tb 3.26-3.47
Tb (0.6039, 0.1828, 0.4998)  1 Pr 3.17, 3 Tb 3.26-3.47
Tb (0.6627, 0.6627, 0.0007)  2 La 3.46, 4 Tb 3.47, 2 Pr 3.77
Tb (0.8172, 0.3961, 0.5002)  1 Pr 3.17, 3 Tb 3.26-3.47
Tb (0.8706, 0.8706, 0.0002)  4 Pr 3.55-3.92, 6 Tb 3.64-3.93, 2 La 3.68-3.69
Pr (0.0000, 0.0000, 0.5000)  4 Tb 3.17
Pr (0.2942, 0.7058, 0.0000)  1 Pr 3.19, 2 Tb 3.55
Pr (0.7058, 0.2942, 0.0000)  1 Pr 3.19, 2 Tb 3.55

Values from the calculation:
As for the offset from the most stable computed form: 1.16 eV per formula unit. The value obtained for the total magnetic moment is 0.00 μB per cell. For the calculated density, the calculation gives 7.1 g/cm³. Its formation energy is 24 kJ/mol of atoms.

***

# 2
This record from Alexandria describes an optimized crystal structure of TlSeF. The functional is PBE-GGA.

Lattice parameters (Å, degrees): 3.7405 3.7406 11.4468 81.93 81.53 89.24
Closest atoms and distances in Å follow each position.
Sites, in units of the cell vectors:
Tl (0.0000, 0.0000, 0.0000)  5 F 2.50-2.76
Tl (0.3717, 0.3774, 0.2856)  5 F 2.50-2.76
Se (0.2534, 0.7347, 0.6096)  1 Se 2.39
Se (0.6506, 0.1334, 0.6760)  1 Se 2.39
F (0.4698, 0.4738, 0.0626)  5 Tl 2.50-2.76
F (0.8986, 0.9066, 0.2230)  5 Tl 2.50-2.76

Values from the calculation:
As for the offset from the most stable computed form: 0.00 eV per formula unit. The value obtained for the total magnetic moment is 0.00 μB per cell. For the calculated density, the calculation gives 6.4 g/cm³. As for the formation energy from raw total energies: -1.114 eV/atom.

***

# 3
This record from Alexandria describes an optimized crystal structure of LiCa3Zn3. The functional is PBE-GGA.

Lattice parameters (Å, degrees): 6.0394 6.0394 14.8949 108.81 108.81 44.20
Closest atoms and distances in Å follow each position.
Sites, in units of the cell vectors:
Li (0.2405, 0.2405, 0.4107)  4 Zn 2.70-2.81
Li (0.7595, 0.7595, 0.5893)  4 Zn 2.70-2.81
Ca (0.2526, 0.2526, 0.7729)  6 Zn 3.18-3.28
Ca (0.3911, 0.3911, 0.0761)  7 Zn 3.24-3.27
Ca (0.4737, 0.4737, 0.6217)  6 Zn 3.20-3.27, 4 Li 3.22-3.40
Ca (0.5263, 0.5263, 0.3783)  6 Zn 3.20-3.27, 4 Li 3.22-3.40
Ca (0.6089, 0.6089, 0.9239)  7 Zn 3.24-3.27
Ca (0.7474, 0.7474, 0.2271)  6 Zn 3.18-3.28
Zn (0.0424, 0.0424, 0.2315)  1 Zn 2.61, 1 Li 2.81
Zn (0.1003, 0.1003, 0.0766)  2 Zn 2.58-2.61
Zn (0.1218, 0.1218, 0.5458)  1 Zn 2.59, 3 Li 2.70-2.77
Zn (0.8782, 0.8782, 0.4542)  1 Zn 2.59, 3 Li 2.70-2.77
Zn (0.8997, 0.8997, 0.9234)  2 Zn 2.58-2.61
Zn (0.9576, 0.9576, 0.7685)  1 Zn 2.61, 1 Li 2.81

Values from the calculation:
The value obtained for the total magnetic moment is 0.00 μB per cell. For the calculated density, the calculation gives 3.0 g/cm³. Its formation energy is -20 kJ/mol of atoms.

***

# 4
This record from Alexandria describes an optimized crystal structure of CdGe2Pb2. The functional is PBE-GGA.

Lattice parameters (Å, degrees): 7.2604 7.2604 4.9172 90.00 90.00 90.00
Closest atoms and distances in Å follow each position.
Sites, in units of the cell vectors:
Cd (0.0000, 0.0000, 0.0000)  4 Ge 2.87
Cd (0.5000, 0.5000, 0.0000)  4 Ge 2.87
Ge (0.1242, 0.3758, 0.0000)  1 Ge 2.55
Ge (0.3758, 0.8758, 0.0000)  1 Ge 2.55
Ge (0.6242, 0.1242, 0.0000)  1 Ge 2.55
Ge (0.8758, 0.6242, 0.0000)  1 Ge 2.55
Pb (0.1820, 0.6820, 0.5000)  6 Ge 3.16-3.34
Pb (0.3180, 0.1820, 0.5000)  6 Ge 3.16-3.34
Pb (0.6820, 0.8180, 0.5000)  6 Ge 3.16-3.34
Pb (0.8180, 0.3180, 0.5000)  6 Ge 3.16-3.34

Values from the calculation:
As for the offset from the most stable computed form: 0.00 eV per formula unit. The value obtained for the total magnetic moment is 0.00 μB per cell. For the calculated density, the calculation gives 8.6 g/cm³. Its formation energy is 13 kJ/mol of atoms.

***

# 5
This record from Alexandria describes an optimized crystal structure of Hf2SnP. The functional is PBE-GGA.

Lattice parameters (Å, degrees): 7.7121 7.7121 7.7121 27.00 27.00 27.00
Closest atoms and distances in Å follow each position.
Sites, in units of the cell vectors:
Hf (0.2310, 0.2310, 0.2310)  3 P 2.53
Hf (0.7690, 0.7690, 0.7690)  3 P 2.53
Sn (0.0000, 0.0000, 0.0000)  6 Hf 3.09
P (0.5000, 0.5000, 0.5000)  6 Hf 2.53

Values from the calculation:
As for the offset from the most stable computed form: 0.27 eV per formula unit. The value obtained for the total magnetic moment is 0.00 μB per cell. For the calculated density, the calculation gives 10.1 g/cm³. Its formation energy is -71 kJ/mol of atoms.

***

# 6
This record from Alexandria describes an optimized crystal structure of Pr3Nd2Tm5. The functional is PBE-GGA.

Lattice parameters (Å, degrees): 9.7395 9.7395 9.3476 107.91 107.91 114.14
Closest atoms and distances in Å follow each position.
Sites, in units of the cell vectors:
Pr (0.0256, 0.2724, 0.0476)  1 Nd 3.13, 5 Tm 3.34-3.46
Pr (0.2332, 0.7668, 0.7500)  4 Nd 3.32-3.60, 3 Tm 3.39-3.67, 2 Pr 3.56
Pr (0.2724, 0.0256, 0.5476)  1 Nd 3.13, 5 Tm 3.34-3.46
Pr (0.7276, 0.9744, 0.4524)  1 Nd 3.13, 5 Tm 3.34-3.46
Pr (0.7668, 0.2332, 0.2500)  4 Nd 3.32-3.60, 3 Tm 3.39-3.67, 2 Pr 3.56
Pr (0.9744, 0.7276, 0.9524)  1 Nd 3.13, 5 Tm 3.34-3.46
Nd (0.2333, 0.4716, 0.4541)  2 Pr 3.13-3.32, 4 Tm 3.31-3.48
Nd (0.4716, 0.2333, 0.9541)  2 Pr 3.13-3.32, 4 Tm 3.31-3.48
Nd (0.5284, 0.7667, 0.0459)  2 Pr 3.13-3.32, 4 Tm 3.31-3.48
Nd (0.7667, 0.5284, 0.5459)  2 Pr 3.13-3.32, 4 Tm 3.31-3.48
Tm (0.0257, 0.9743, 0.7500)  5 Pr 3.35-3.46, 2 Nd 3.44, 2 Tm 3.47
Tm (0.1382, 0.3641, 0.7563)  3 Pr 3.46-3.67, 3 Tm 3.47-3.70, 2 Nd 3.48-3.55
Tm (0.2722, 0.7278, 0.2500)  1 Tm 3.28, 4 Pr 3.34-3.51, 2 Nd 3.55
Tm (0.3641, 0.1382, 0.2563)  3 Pr 3.46-3.67, 3 Tm 3.47-3.70, 2 Nd 3.48-3.55
Tm (0.4726, 0.5274, 0.2500)  3 Tm 3.28-3.52, 4 Nd 3.31-3.42, 2 Pr 3.45
Tm (0.5274, 0.4726, 0.7500)  3 Tm 3.28-3.52, 4 Nd 3.31-3.42, 2 Pr 3.45
Tm (0.6359, 0.8618, 0.7437)  3 Pr 3.46-3.67, 3 Tm 3.47-3.70, 2 Nd 3.48-3.55
Tm (0.7278, 0.2722, 0.7500)  1 Tm 3.28, 4 Pr 3.34-3.51, 2 Nd 3.55
Tm (0.8618, 0.6359, 0.2437)  3 Pr 3.46-3.67, 3 Tm 3.47-3.70, 2 Nd 3.48-3.55
Tm (0.9743, 0.0257, 0.2500)  5 Pr 3.35-3.46, 2 Nd 3.44, 2 Tm 3.47

Values from the calculation:
The value obtained for the total magnetic moment is 0.00 μB per cell. For the calculated density, the calculation gives 7.7 g/cm³. Its formation energy is 17 kJ/mol of atoms.

***

# 7
This record from Alexandria describes an optimized crystal structure of HfMg2Ga. The functional is PBE-GGA.

Lattice parameters (Å, degrees): 4.1556 4.1556 4.4751 90.00 90.00 90.00
Closest atoms and distances in Å follow each position.
Sites, in units of the cell vectors:
Hf (0.0000, 0.0000, 0.0000)  4 Ga 2.94, 8 Mg 3.05
Mg (0.0000, 0.5000, 0.5000)  4 Mg 2.94, 4 Hf 3.05, 4 Ga 3.05
Mg (0.5000, 0.0000, 0.5000)  4 Mg 2.94, 4 Hf 3.05, 4 Ga 3.05
Ga (0.5000, 0.5000, 0.0000)  4 Hf 2.94, 8 Mg 3.05

Values from the calculation:
The value obtained for the total magnetic moment is 0.00 μB per cell. For the calculated density, the calculation gives 6.4 g/cm³. Its formation energy is -16 kJ/mol of atoms.

***

# 8
This record from Alexandria describes an optimized crystal structure of HfNbSn2. The functional is PBE-GGA.

Lattice parameters (Å, degrees): 6.2754 6.2754 6.2754 103.68 103.68 121.80
Closest atoms and distances in Å follow each position.
Sites, in units of the cell vectors:
Hf (0.0000, 0.0000, 0.0000)  4 Sn 2.89, 2 Nb 3.05
Hf (0.7500, 0.2500, 0.5000)  4 Sn 2.89, 2 Nb 3.05
Nb (0.2500, 0.7500, 0.5000)  4 Sn 2.81, 2 Hf 3.05
Nb (0.5000, 0.5000, 0.0000)  4 Sn 2.81, 2 Hf 3.05
Sn (0.1328, 0.1250, 0.5078)  2 Nb 2.81, 2 Hf 2.89, 2 Sn 3.05
Sn (0.3750, 0.8672, 0.9922)  2 Nb 2.81, 2 Hf 2.89, 2 Sn 3.05
Sn (0.6172, 0.6250, 0.4922)  2 Nb 2.81, 2 Hf 2.89, 2 Sn 3.05
Sn (0.8750, 0.3828, 0.0078)  2 Nb 2.81, 2 Hf 2.89, 2 Sn 3.05

Values from the calculation:
As for the offset from the most stable computed form: 0.94 eV per formula unit. The value obtained for the total magnetic moment is 0.00 μB per cell. For the calculated density, the calculation gives 9.2 g/cm³. Its formation energy is 19 kJ/mol of atoms.

***

# 9
This record from Alexandria describes an optimized crystal structure of FeTc4Pt. The functional is PBE-GGA.

Lattice parameters (Å, degrees): 5.0681 5.0681 5.0681 60.00 60.00 60.00
Closest atoms and distances in Å follow each position.
Sites, in units of the cell vectors:
Fe (0.0000, 0.0000, 0.0000)  12 Tc 2.97, 4 Pt 3.10
Tc (0.3753, 0.3753, 0.3753)  6 Tc 2.53-2.54
Tc (0.3753, 0.3753, 0.8740)  6 Tc 2.53-2.54
Tc (0.3753, 0.8740, 0.3753)  6 Tc 2.53-2.54
Tc (0.8740, 0.3753, 0.3753)  6 Tc 2.53-2.54
Pt (0.7500, 0.7500, 0.7500)  12 Tc 2.97, 4 Fe 3.10

Values from the calculation:
The value obtained for the total magnetic moment is 2.21 μB per cell. For the calculated density, the calculation gives 11.6 g/cm³. Its formation energy is 36 kJ/mol of atoms.

***

# 10
This record from Alexandria describes an optimized crystal structure of HoNi4B. The functional is PBE-GGA.

Lattice parameters (Å, degrees): 6.9138 3.3984 6.2838 90.00 90.00 90.00
Closest atoms and distances in Å follow each position.
Sites, in units of the cell vectors:
Ho (0.2500, 0.0000, 0.1050)  1 B 2.71, 12 Ni 2.79-3.02
Ho (0.7500, 0.0000, 0.8950)  1 B 2.71, 12 Ni 2.79-3.02
Ni (0.0000, 0.0000, 0.5000)  2 B 2.04
Ni (0.0700, 0.5000, 0.7854)  2 B 2.22, 1 Ni 2.41
Ni (0.2500, 0.5000, 0.4562)  2 B 2.18, 6 Ni 2.41-2.44
Ni (0.4300, 0.5000, 0.7854)  2 B 2.22, 1 Ni 2.41
Ni (0.5000, 0.0000, 0.5000)  2 B 2.04
Ni (0.5700, 0.5000, 0.2146)  2 B 2.22, 1 Ni 2.41
Ni (0.7500, 0.5000, 0.5438)  2 B 2.18, 6 Ni 2.41-2.44
Ni (0.9300, 0.5000, 0.2146)  2 B 2.22, 1 Ni 2.41
B (0.2500, 0.0000, 0.6737)  8 Ni 2.04-2.22
B (0.7500, 0.0000, 0.3263)  8 Ni 2.04-2.22

Values from the calculation:
As for the offset from the most stable computed form: 0.77 eV per formula unit. The value obtained for the total magnetic moment is 0.00 μB per cell. For the calculated density, the calculation gives 9.2 g/cm³. Its formation energy is -36 kJ/mol of atoms.

***

# 11
This record from Alexandria describes an optimized crystal structure of TcRh2Se. The functional is PBE-GGA.

Lattice parameters (Å, degrees): 2.8677 3.5845 5.8617 90.00 90.00 90.00
Closest atoms and distances in Å follow each position.
Sites, in units of the cell vectors:
Tc (0.0000, 0.0000, 0.0000)  5 Rh 2.62-2.84, 2 Tc 2.87, 4 Se 2.87
Rh (0.0000, 0.0000, 0.4842)  4 Se 2.64, 6 Rh 2.78-2.87, 1 Tc 2.84
Rh (0.5000, 0.5000, 0.2166)  4 Tc 2.62, 6 Rh 2.78-2.87, 1 Se 2.87
Se (0.5000, 0.5000, 0.7065)  5 Rh 2.64-2.87, 2 Se 2.87, 4 Tc 2.87

Values from the calculation:
The value obtained for the total magnetic moment is 0.00 μB per cell. For the calculated density, the calculation gives 10.5 g/cm³. As for the formation energy from raw total energies: 0.177 eV/atom.

***

# 12
This record from Alexandria describes an optimized crystal structure of Ga2NiAu. The functional is PBE-GGA.

Lattice parameters (Å, degrees): 5.6763 5.6763 5.6763 102.55 102.55 124.43
Closest atoms and distances in Å follow each position.
Sites, in units of the cell vectors:
Ga (0.0901, 0.6250, 0.9652)  2 Ni 2.43, 2 Ga 2.69
Ga (0.3750, 0.3402, 0.4652)  2 Ni 2.43, 2 Ga 2.69
Ga (0.6599, 0.1250, 0.0348)  2 Ni 2.43, 2 Ga 2.69
Ga (0.8750, 0.9098, 0.5349)  2 Ni 2.43, 2 Ga 2.69
Ni (0.0000, 0.0000, 0.0000)  4 Ga 2.43, 2 Au 2.65
Ni (0.7500, 0.2500, 0.5000)  4 Ga 2.43, 2 Au 2.65
Au (0.2500, 0.7500, 0.5000)  2 Ni 2.65, 4 Ga 2.77
Au (0.5000, 0.5000, 0.0000)  2 Ni 2.65, 4 Ga 2.77

Values from the calculation:
The value obtained for the total magnetic moment is 0.00 μB per cell. For the calculated density, the calculation gives 9.8 g/cm³. Its formation energy is 0 kJ/mol of atoms.

***

Copy entry 10 word for word.
This record from Alexandria describes an optimized crystal structure of HoNi4B. The functional is PBE-GGA.

Lattice parameters (Å, degrees): 6.9138 3.3984 6.2838 90.00 90.00 90.00
Closest atoms and distances in Å follow each position.
Sites, in units of the cell vectors:
Ho (0.2500, 0.0000, 0.1050)  1 B 2.71, 12 Ni 2.79-3.02
Ho (0.7500, 0.0000, 0.8950)  1 B 2.71, 12 Ni 2.79-3.02
Ni (0.0000, 0.0000, 0.5000)  2 B 2.04
Ni (0.0700, 0.5000, 0.7854)  2 B 2.22, 1 Ni 2.41
Ni (0.2500, 0.5000, 0.4562)  2 B 2.18, 6 Ni 2.41-2.44
Ni (0.4300, 0.5000, 0.7854)  2 B 2.22, 1 Ni 2.41
Ni (0.5000, 0.0000, 0.5000)  2 B 2.04
Ni (0.5700, 0.5000, 0.2146)  2 B 2.22, 1 Ni 2.41
Ni (0.7500, 0.5000, 0.5438)  2 B 2.18, 6 Ni 2.41-2.44
Ni (0.9300, 0.5000, 0.2146)  2 B 2.22, 1 Ni 2.41
B (0.2500, 0.0000, 0.6737)  8 Ni 2.04-2.22
B (0.7500, 0.0000, 0.3263)  8 Ni 2.04-2.22

Values from the calculation:
As for the offset from the most stable computed form: 0.77 eV per formula unit. The value obtained for the total magnetic moment is 0.00 μB per cell. For the calculated density, the calculation gives 9.2 g/cm³. Its formation energy is -36 kJ/mol of atoms.

***

- The lowest calculated density belongs to which entry?
  LiCa3Zn3